DFT (PBE) results for Th8Os4S3Cl after structural relaxation.

Properties
Space-group type: R-3m, No. 166
Magnetic moment (μB/f.u.): 0.000
ΔE_f (raw) (eV per formula unit): -16.16
Density of states at the Fermi level (states/eV per atom): 0.52
VASP energy (eV per atom): -8.42

Cell: 8.6135 8.6135 8.6135 Å, 56.96 56.96 56.96°
Closest atoms and distances in Å follow each position.
Fractional coordinates of all 16 atoms:
Th1 0.2407 0.2407 0.2407  3 Os 2.86, 3 S 3.10
Th2 0.2434 0.7361 0.7361  3 Os 2.80-2.85, 2 S 3.12
Th3 0.2639 0.2639 0.7566  3 Os 2.80-2.85, 2 S 3.12
Th4 0.2639 0.7566 0.2639  3 Os 2.80-2.85, 2 S 3.12
Th5 0.7361 0.2434 0.7361  3 Os 2.80-2.85, 2 S 3.12
Th6 0.7361 0.7361 0.2434  3 Os 2.80-2.85, 2 S 3.12
Th7 0.7566 0.2639 0.2639  3 Os 2.80-2.85, 2 S 3.12
Th8 0.7593 0.7593 0.7593  3 Os 2.86, 3 S 3.10
Os1 0.0000 0.0000 0.5000  6 Th 2.85-2.86
Os2 0.0000 0.5000 0.0000  6 Th 2.85-2.86
Os3 0.5000 0.0000 0.0000  6 Th 2.85-2.86
Os4 0.5000 0.5000 0.5000  6 Th 2.80
S1 0.0000 0.5000 0.5000  6 Th 3.10-3.12
S2 0.5000 0.0000 0.5000  6 Th 3.10-3.12
S3 0.5000 0.5000 0.0000  6 Th 3.10-3.12
Cl1 0.0000 0.0000 0.0000  6 Th 3.16